The following is a PBEsol calculation of a relaxed structure of Th3Pb, from Alexandria.

Computed properties:
- Formation energy: -0.194 eV per atom
- Fermi-level density of states: 5.107 states/eV/cell

```
data_Th3Pb
_chemical_formula_sum 'Th3 Pb1'
_cell_length_a 4.902
_cell_length_b 4.902
_cell_length_c 4.902
_cell_angle_alpha 90.00
_cell_angle_beta 90.00
_cell_angle_gamma 90.00
_symmetry_space_group_name_H-M 'P m -3 m'
_symmetry_Int_Tables_number 221
_symmetry_space_group_name_Hall '-P 4 2 3'
loop_
_atom_site_label
_atom_site_fract_x
_atom_site_fract_y
_atom_site_fract_z
Th1 0.000 0.000 0.500
Pb1 0.500 0.500 0.500
```

The following is a PBEsol calculation of a relaxed structure of Ti13Pb3, from Alexandria.

Computed properties:
- Formation energy: -0.060 eV per atom
- Fermi-level density of states: 16.381 states/eV/cell

```
data_Ti13Pb3
_chemical_formula_sum 'Ti13 Pb3'
_cell_length_a 4.724
_cell_length_b 5.925
_cell_length_c 10.039
_cell_angle_alpha 90.00
_cell_angle_beta 90.00
_cell_angle_gamma 90.00
_symmetry_space_group_name_H-M 'P m m 2'
_symmetry_Int_Tables_number 25
_symmetry_space_group_name_Hall 'P 2 -2'
loop_
_atom_site_label
_atom_site_fract_x
_atom_site_fract_y
_atom_site_fract_z
Ti1 0.000 0.000 0.000
Ti2 0.000 0.000 0.515
Ti3 0.000 0.238 0.753
Ti4 0.000 0.249 0.270
Ti5 0.000 0.500 0.504
Ti6 0.500 0.000 0.683
Ti7 0.500 0.243 0.434
Ti8 0.500 0.243 0.931
Ti9 0.500 0.500 0.195
Pb1 0.000 0.500 0.012
Pb2 0.500 0.000 0.179
Pb3 0.500 0.500 0.683
```

The following is a PBEsol calculation of a relaxed structure of ZrTi3Pb, from Alexandria.

Computed properties:
- Formation energy: 1.254 eV per atom
- Fermi-level density of states: 11.387 states/eV/cell

```
data_ZrTi3Pb
_chemical_formula_sum 'Zr1 Ti3 Pb1'
_cell_length_a 4.999
_cell_length_b 4.999
_cell_length_c 4.999
_cell_angle_alpha 90.00
_cell_angle_beta 90.00
_cell_angle_gamma 90.00
_symmetry_space_group_name_H-M 'P m -3 m'
_symmetry_Int_Tables_number 221
_symmetry_space_group_name_Hall '-P 4 2 3'
loop_
_atom_site_label
_atom_site_fract_x
_atom_site_fract_y
_atom_site_fract_z
Zr1 0.000 0.000 0.000
Ti1 0.000 0.500 0.500
Pb1 0.500 0.500 0.500
```

The following is a PBEsol calculation of a relaxed structure of TlPb2, from Alexandria.

Computed properties:
- Formation energy: 0.016 eV per atom
- Fermi-level density of states: 6.963 states/eV/cell
- Energy above the lowest structure with this stoichiometry: 22 meV per atom

```
data_TlPb2
_chemical_formula_sum 'Tl4 Pb8'
_cell_length_a 3.439
_cell_length_b 17.952
_cell_length_c 5.652
_cell_angle_alpha 90.00
_cell_angle_beta 90.00
_cell_angle_gamma 90.00
_symmetry_space_group_name_H-M 'C m c m'
_symmetry_Int_Tables_number 63
_symmetry_space_group_name_Hall '-C 2c 2'
loop_
_atom_site_label
_atom_site_fract_x
_atom_site_fract_y
_atom_site_fract_z
Tl1 0.000 0.112 0.250
Pb1 0.000 0.219 0.750
Pb2 0.000 0.447 0.250
```

The following is a PBEsol calculation of a relaxed structure of Tl3Pb, from Alexandria.

Computed properties:
- Formation energy: -0.001 eV per atom
- Fermi-level density of states: 1.524 states/eV/cell
- Energy above the lowest structure with this stoichiometry: 1 meV per atom

```
data_Tl3Pb
_chemical_formula_sum 'Tl3 Pb1'
_cell_length_a 3.383
_cell_length_b 4.851
_cell_length_c 6.927
_cell_angle_alpha 90.00
_cell_angle_beta 90.00
_cell_angle_gamma 90.00
_symmetry_space_group_name_H-M 'P m m m'
_symmetry_Int_Tables_number 47
_symmetry_space_group_name_Hall '-P 2 2'
loop_
_atom_site_label
_atom_site_fract_x
_atom_site_fract_y
_atom_site_fract_z
Tl1 0.000 0.000 0.000
Tl2 0.500 0.500 0.248
Pb1 0.000 0.000 0.500
```

The following is a PBEsol calculation of a relaxed structure of TlPb3, from Alexandria.

Computed properties:
- Formation energy: 0.035 eV per atom
- Fermi-level density of states: 6.674 states/eV/cell

```
data_TlPb3
_chemical_formula_sum 'Tl3 Pb9'
_cell_length_a 11.0045
_cell_length_b 11.0045
_cell_length_c 3.3431
_cell_angle_alpha 90.00
_cell_angle_beta 90.00
_cell_angle_gamma 120.00
_symmetry_space_group_name_H-M 'R -3 m'
_symmetry_Int_Tables_number 166
_symmetry_space_group_name_Hall '-R 3 2"'
loop_
_atom_site_label
_atom_site_fract_x
_atom_site_fract_y
_atom_site_fract_z
Tl1 0.0000 0.0000 0.0000
Pb1 0.0000 0.5000 0.0000
```

The following is a PBEsol calculation of a relaxed structure of Tl5Pb, from Alexandria.

Computed properties:
- Formation energy: 0.004 eV per atom
- Fermi-level density of states: 5.107 states/eV/cell
- Energy above the lowest structure with this stoichiometry: 7 meV per atom

```
data_Tl5Pb
_chemical_formula_sum 'Tl10 Pb2'
_cell_length_a 12.529
_cell_length_b 3.423
_cell_length_c 8.180
_cell_angle_alpha 90.00
_cell_angle_beta 102.98
_cell_angle_gamma 90.00
_symmetry_space_group_name_H-M 'C 1 m 1'
_symmetry_Int_Tables_number 8
_symmetry_space_group_name_Hall 'C -2y'
loop_
_atom_site_label
_atom_site_fract_x
_atom_site_fract_y
_atom_site_fract_z
Tl1 0.000 0.000 0.000
Tl2 0.054 0.000 0.616
Tl3 0.224 0.500 0.948
Tl4 0.330 0.000 0.666
Tl5 0.388 0.000 0.281
Pb1 0.164 0.500 0.332
```

The following is a PBEsol calculation of a relaxed structure of TlPb2, from Alexandria.

Computed properties:
- Formation energy: -0.005 eV per atom
- Fermi-level density of states: 6.020 states/eV/cell
- Energy above the lowest structure with this stoichiometry: 1 meV per atom

```
data_TlPb2
_chemical_formula_sum 'Tl4 Pb8'
_cell_length_a 6.918
_cell_length_b 4.868
_cell_length_c 10.398
_cell_angle_alpha 90.00
_cell_angle_beta 90.00
_cell_angle_gamma 90.00
_symmetry_space_group_name_H-M 'P n m a'
_symmetry_Int_Tables_number 62
_symmetry_space_group_name_Hall '-P 2ac 2n'
loop_
_atom_site_label
_atom_site_fract_x
_atom_site_fract_y
_atom_site_fract_z
Tl1 0.121 0.250 0.082
Pb1 0.125 0.250 0.416
Pb2 0.125 0.250 0.745
```

The following is a PBEsol calculation of a relaxed structure of Tl5Pb, from Alexandria.

Computed properties:
- Formation energy: 0.005 eV per atom
- Fermi-level density of states: 2.802 states/eV/cell
- Energy above the lowest structure with this stoichiometry: 8 meV per atom

```
data_Tl5Pb
_chemical_formula_sum 'Tl5 Pb1'
_cell_length_a 6.0305
_cell_length_b 6.0305
_cell_length_c 5.4147
_cell_angle_alpha 90.00
_cell_angle_beta 90.00
_cell_angle_gamma 120.00
_symmetry_space_group_name_H-M 'P -6 2 m'
_symmetry_Int_Tables_number 189
_symmetry_space_group_name_Hall 'P -6 -2'
loop_
_atom_site_label
_atom_site_fract_x
_atom_site_fract_y
_atom_site_fract_z
Tl1 0.0000 0.6664 0.0000
Tl2 0.3333 0.6667 0.5000
Pb1 0.0000 0.0000 0.5000
```

The following is a PBEsol calculation of a relaxed structure of Tl3Pb, from Alexandria.

Computed properties:
- Formation energy: 0.002 eV per atom
- Fermi-level density of states: 3.383 states/eV/cell
- Energy above the lowest structure with this stoichiometry: 4 meV per atom

```
data_Tl3Pb
_chemical_formula_sum 'Tl6 Pb2'
_cell_length_a 5.531
_cell_length_b 7.466
_cell_length_c 5.544
_cell_angle_alpha 90.00
_cell_angle_beta 90.00
_cell_angle_gamma 90.00
_symmetry_space_group_name_H-M 'P m m n'
_symmetry_Int_Tables_number 59
loop_
_symmetry_equiv_pos_as_xyz
'x,y,z'
'-x,-y,-z'
'-x+1/2,-y+1/2,z'
'x+1/2,y+1/2,-z'
'x+1/2,-y,-z'
'-x+1/2,y,z'
'-x,y+1/2,-z'
'x,-y+1/2,z'
loop_
_atom_site_label
_atom_site_fract_x
_atom_site_fract_y
_atom_site_fract_z
Tl1 0.250 0.000 0.242
Tl2 0.250 0.250 0.742
Pb1 0.250 0.750 0.743
```

The following is a PBEsol calculation of a relaxed structure of TlPb3, from Alexandria.

Computed properties:
- Formation energy: 0.018 eV per atom
- Fermi-level density of states: 2.309 states/eV/cell

```
data_TlPb3
_chemical_formula_sum 'Tl1 Pb3'
_cell_length_a 3.444
_cell_length_b 5.613
_cell_length_c 6.027
_cell_angle_alpha 90.00
_cell_angle_beta 90.00
_cell_angle_gamma 90.00
_symmetry_space_group_name_H-M 'P m m 2'
_symmetry_Int_Tables_number 25
_symmetry_space_group_name_Hall 'P 2 -2'
loop_
_atom_site_label
_atom_site_fract_x
_atom_site_fract_y
_atom_site_fract_z
Tl1 0.000 0.000 0.000
Pb1 0.000 0.500 0.672
Pb2 0.500 0.000 0.496
Pb3 0.500 0.500 0.172
```

The following is a PBEsol calculation of a relaxed structure of Tl24Pb5, from Alexandria.

Computed properties:
- Formation energy: 0.026 eV per atom
- Fermi-level density of states: 27.899 states/eV/cell

```
data_Tl24Pb5
_chemical_formula_sum 'Tl48 Pb10'
_cell_length_a 11.848
_cell_length_b 11.848
_cell_length_c 11.848
_cell_angle_alpha 90.00
_cell_angle_beta 90.00
_cell_angle_gamma 90.00
_symmetry_space_group_name_H-M 'I -4 3 m'
_symmetry_Int_Tables_number 217
_symmetry_space_group_name_Hall 'I -4 2 3'
loop_
_atom_site_label
_atom_site_fract_x
_atom_site_fract_y
_atom_site_fract_z
Tl1 0.047 0.361 0.639
Tl2 0.093 0.093 0.717
Pb1 0.000 0.000 0.000
Pb2 0.169 0.169 0.169
```